Below is ErPd6Au8 after structural relaxation, with properties calculated at the GGA-PBE level.

Lattice parameters (Å, degrees): 5.544 7.733 7.733 120.00 90.00 90.00
Sites, in units of the cell vectors:
Au 0.131 0.976 0.672
Au 0.647 0.333 0.667
Au 0.869 0.672 0.696
Au 0.353 0.667 0.333
Au 0.131 0.328 0.304
Au 0.131 0.696 0.024
Au 0.869 0.304 0.976
Au 0.869 0.024 0.328
Pd 0.364 0.634 0.674
Pd 0.636 0.366 0.326
Pd 0.364 0.040 0.366
Pd 0.636 0.960 0.634
Pd 0.364 0.326 0.960
Pd 0.636 0.674 0.040
Er 0.500 0.000 0.000

Summary:
Volume (Å³ per cell): 287
Relative energy among the computed polymorphs (meV/atom): 39
DOS at the Fermi energy (states/eV per atom): 0.499
Magnetization (μB/cell): 0.00
Total DFT energy (no corrections) (eV per atom): -4.2945

Below is CaOsRh2O8 after structural relaxation, with properties calculated at the GGA-PBE level.

Lattice parameters (Å, degrees): 4.701 4.699 6.412 90.00 90.00 88.76
Sites, in units of the cell vectors:
O 0.326 0.325 0.500
O 0.800 0.201 0.786
O 0.705 0.706 0.000
O 0.200 0.799 0.214
O 0.200 0.799 0.786
O 0.674 0.675 0.500
O 0.295 0.294 0.000
O 0.800 0.201 0.214
Rh 0.500 0.500 0.249
Rh 0.500 0.500 0.751
Ca 0.000 0.000 0.500
Os 0.000 0.000 0.000

Summary:
Volume (Å³ per cell): 142
DOS at the Fermi energy (states/eV per atom): 0.376
Formation energy from raw total energies (meV per atom): -1171
Magnetization (μB/cell): 0.00
Total DFT energy (no corrections) (eV per atom): -6.8041

Below is TlSn2Pd2 after structural relaxation, with properties calculated at the GGA-PBE level.

Lattice parameters (Å, degrees): 8.128 8.128 3.237 90.00 90.00 90.00
Sites, in units of the cell vectors:
Pd 0.632 0.132 0.000
Pd 0.868 0.632 0.000
Pd 0.132 0.368 0.000
Pd 0.368 0.868 0.000
Sn 0.842 0.342 0.500
Sn 0.342 0.158 0.500
Sn 0.158 0.658 0.500
Sn 0.658 0.842 0.500
Tl 0.500 0.500 0.000
Tl 0.000 0.000 0.000

Summary:
Volume (Å³ per cell): 214
Relative energy among the computed polymorphs (meV/atom): 0
DOS at the Fermi energy (states/eV per atom): 0.512
Magnetization (μB/cell): 0.00
Total DFT energy (no corrections) (eV per atom): -4.4187

Below is Pr8Y6Ho after structural relaxation, with properties calculated at the GGA-PBE level.

Lattice parameters (Å, degrees): 9.223 9.223 8.831 58.52 58.52 60.00
Sites, in units of the cell vectors:
Pr 0.422 0.422 0.734
Pr 0.715 0.113 0.418
Pr 0.113 0.754 0.418
Pr 0.246 0.285 0.582
Pr 0.887 0.246 0.582
Pr 0.578 0.578 0.266
Pr 0.754 0.715 0.418
Pr 0.285 0.887 0.582
Y 0.539 0.095 0.116
Y 0.750 0.461 0.884
Y 0.095 0.250 0.116
Y 0.461 0.905 0.884
Y 0.905 0.750 0.884
Y 0.250 0.539 0.116
Ho 0.000 0.000 0.000

Summary:
Volume (Å³ per cell): 519
Relative energy among the computed polymorphs (meV/atom): 0
DOS at the Fermi energy (states/eV per atom): 1.596
Magnetization (μB/cell): 0.00
Total DFT energy (no corrections) (eV per atom): -5.3274

Below is AlCrSi2Au after structural relaxation, with properties calculated at the GGA-PBE level.

Lattice parameters (Å, degrees): 4.728 5.143 4.728 90.00 90.00 90.00
Sites, in units of the cell vectors:
Si 0.500 0.000 0.000
Si 0.000 0.000 0.500
Al 0.500 0.500 0.500
Cr 0.000 0.500 0.000
Au 0.000 0.000 0.000

Summary:
Volume (Å³ per cell): 115
DOS at the Fermi energy (states/eV per atom): 0.478
Formation energy from raw total energies (meV per atom): 979
Magnetization (μB/cell): 4.25
Total DFT energy (no corrections) (eV per atom): -4.5190

Below is NpSi2TcRu after structural relaxation, with properties calculated at the GGA-PBE level.

Lattice parameters (Å, degrees): 4.199 4.199 5.626 111.91 111.91 90.00
Sites, in units of the cell vectors:
Si 0.628 0.628 0.255
Si 0.372 0.372 0.745
Ru 0.250 0.750 0.500
Np 0.000 0.000 0.000
Tc 0.750 0.250 0.500

Summary:
Volume (Å³ per cell): 84
DOS at the Fermi energy (states/eV per atom): 2.061
Formation energy from raw total energies (meV per atom): -473
Magnetization (μB/cell): 3.45
Total DFT energy (no corrections) (eV per atom): -9.1584

Below is ZrCoAu after structural relaxation, with properties calculated at the GGA-PBE level.

Lattice parameters (Å, degrees): 5.045 5.045 3.382 70.42 70.42 39.16
Sites, in units of the cell vectors:
Au 0.997 0.997 0.003
Zr 0.680 0.680 0.320
Co 0.323 0.323 0.677

Summary:
Volume (Å³ per cell): 51
DOS at the Fermi energy (states/eV per atom): 1.005
Magnetization (μB/cell): 0.57
Total DFT energy (no corrections) (eV per atom): -6.6256

Below is ZrInAs4 after structural relaxation, with properties calculated at the GGA-PBE level.

Lattice parameters (Å, degrees): 5.615 5.615 5.615 60.00 60.00 60.00
Sites, in units of the cell vectors:
As 0.374 0.374 0.877
As 0.374 0.877 0.374
As 0.877 0.374 0.374
As 0.374 0.374 0.374
In 0.750 0.750 0.750
Zr 0.000 0.000 0.000

Summary:
Volume (Å³ per cell): 125
DOS at the Fermi energy (states/eV per atom): 0.913
Magnetization (μB/cell): 0.00
Total DFT energy (no corrections) (eV per atom): -4.8350

Below is FeGeBr3 after structural relaxation, with properties calculated at the GGA-PBE level.

Lattice parameters (Å, degrees): 5.410 5.410 5.410 90.00 90.00 90.00
Sites, in units of the cell vectors:
Br 0.000 0.000 0.500
Br 0.000 0.500 0.000
Br 0.500 0.000 0.000
Ge 0.000 0.000 0.000
Fe 0.500 0.500 0.500

Summary:
Volume (Å³ per cell): 158
Relative energy among the computed polymorphs (meV/atom): 246
DOS at the Fermi energy (states/eV per atom): 5.299
Formation energy from raw total energies (meV per atom): 370
Magnetization (μB/cell): 4.24
Total DFT energy (no corrections) (eV per atom): -3.2494

Below is Na4Tl2HgPb2 after structural relaxation, with properties calculated at the GGA-PBE level.

Lattice parameters (Å, degrees): 6.267 8.361 8.044 119.49 128.94 84.11
Sites, in units of the cell vectors:
Hg 0.000 0.000 0.000
Na 0.181 0.297 0.526
Na 0.819 0.703 0.474
Na 0.621 0.775 0.984
Na 0.379 0.225 0.016
Pb 0.340 0.878 0.517
Pb 0.660 0.122 0.483
Tl 0.119 0.602 0.934
Tl 0.881 0.398 0.066

Summary:
Volume (Å³ per cell): 272
DOS at the Fermi energy (states/eV per atom): 0.313
Magnetization (μB/cell): 0.00
Total DFT energy (no corrections) (eV per atom): -2.0806

Below is Cs2NaPPt after structural relaxation, with properties calculated at the GGA-PBE level.

Lattice parameters (Å, degrees): 7.218 7.218 4.388 90.00 90.00 90.00
Sites, in units of the cell vectors:
Cs 0.000 0.500 0.000
Cs 0.500 0.000 0.000
Na 0.500 0.500 0.500
P 0.000 0.000 0.000
Pt 0.000 0.000 0.500

Summary:
Volume (Å³ per cell): 229
DOS at the Fermi energy (states/eV per atom): 0.730
Magnetization (μB/cell): 0.00
Total DFT energy (no corrections) (eV per atom): -3.1244

Below is CeDy3Te6 after structural relaxation, with properties calculated at the GGA-PBE level.

Lattice parameters (Å, degrees): 4.390 12.514 12.852 109.25 90.00 90.00
Sites, in units of the cell vectors:
Te 0.250 0.884 0.533
Te 0.250 0.609 0.940
Te 0.750 0.391 0.060
Te 0.750 0.116 0.467
Te 0.250 0.258 0.723
Te 0.750 0.915 0.097
Te 0.750 0.742 0.277
Te 0.250 0.085 0.903
Te 0.750 0.484 0.618
Te 0.250 0.196 0.251
Te 0.750 0.804 0.749
Te 0.250 0.516 0.382
Dy 0.750 0.155 0.082
Dy 0.750 0.435 0.835
Dy 0.250 0.565 0.165
Dy 0.750 0.682 0.501
Dy 0.250 0.845 0.918
Dy 0.250 0.318 0.499
Ce 0.750 0.047 0.697
Ce 0.250 0.953 0.303

Summary:
Volume (Å³ per cell): 667
DOS at the Fermi energy (states/eV per atom): 0.737
Formation energy from raw total energies (meV per atom): -1383
Magnetization (μB/cell): 1.96
Total DFT energy (no corrections) (eV per atom): -5.2418